CsRbAl: optimized geometry, PBE. Values from VASP.

```
&SYSTEM
  ibrav = 0, nat = 6, ntyp = 3
/
ATOMIC_SPECIES
Cs 132.91 Cs.upf
Rb 85.47 Rb.upf
Al 26.98 Al.upf
CELL_PARAMETERS angstrom
4.713 0.000 0.000
-2.357 6.639 1.992
0.000 0.083 11.249
ATOMIC_POSITIONS crystal
Cs 0.947 0.894 0.677
Cs 0.053 0.106 0.323
Rb 0.169 0.337 0.842
Rb 0.831 0.663 0.158
Al 0.713 0.427 0.522
Al 0.287 0.573 0.478
```

Properties
V   58.538 Å³ per atom
Total moment   0.0 μB/cell
Energy relative to the elements   0.186 eV per atom
Crystal system   monoclinic



Cs2RbAlS: optimized geometry, PBE. Values from VASP.

```
&SYSTEM
  ibrav = 0, nat = 5, ntyp = 4
/
ATOMIC_SPECIES
S 32.06 S.upf
Al 26.98 Al.upf
Cs 132.91 Cs.upf
Rb 85.47 Rb.upf
CELL_PARAMETERS angstrom
7.146 0.000 0.000
0.000 5.065 0.000
0.000 0.000 7.146
ATOMIC_POSITIONS crystal
S 0.000 0.000 0.000
Al 0.000 0.500 0.000
Cs 0.000 0.000 0.500
Cs 0.500 0.000 0.000
Rb 0.500 0.500 0.500
```

Properties
V   51.730 Å³ per atom
Formation energy without anion corrections   -0.1519 eV per atom
Total moment   0.0 μB/cell
Crystal system   tetragonal



Cs2RbAlSb2: optimized geometry, PBE. Values from VASP.

```
&SYSTEM
  ibrav = 0, nat = 12, ntyp = 4
/
ATOMIC_SPECIES
Al 26.98 Al.upf
Rb 85.47 Rb.upf
Sb 121.76 Sb.upf
Cs 132.91 Cs.upf
CELL_PARAMETERS angstrom
-8.501 -0.488 -2.168
1.064 -6.885 -2.624
1.998 0.584 9.838
ATOMIC_POSITIONS crystal
Al 0.500 0.250 0.000
Al 0.500 0.750 0.000
Rb 0.000 0.750 0.000
Rb 0.000 0.250 0.000
Sb 0.761 0.085 0.169
Sb 0.239 0.915 0.831
Sb 0.592 0.415 0.831
Sb 0.408 0.585 0.169
Cs 0.885 0.674 0.348
Cs 0.537 0.826 0.652
Cs 0.115 0.326 0.652
Cs 0.463 0.174 0.348
```

Properties
V   44.943 Å³ per atom
Formation energy without anion corrections   -0.4361 eV per atom
Total moment   0.0 μB/cell
Crystal system   orthorhombic



CsRbAlSb2: optimized geometry, PBE. Values from VASP.

```
&SYSTEM
  ibrav = 0, nat = 10, ntyp = 4
/
ATOMIC_SPECIES
Al 26.98 Al.upf
Cs 132.91 Cs.upf
Sb 121.76 Sb.upf
Rb 85.47 Rb.upf
CELL_PARAMETERS angstrom
8.999 0.000 0.000
0.000 6.010 0.000
0.000 0.000 7.749
ATOMIC_POSITIONS crystal
Al 0.000 0.500 0.000
Al 0.000 0.000 0.000
Cs 0.167 0.250 0.500
Cs 0.833 0.750 0.500
Sb 0.207 0.750 0.197
Sb 0.793 0.250 0.197
Sb 0.793 0.250 0.803
Sb 0.207 0.750 0.803
Rb 0.383 0.250 0.000
Rb 0.617 0.750 0.000
```

Properties
V   41.910 Å³ per atom
Formation energy without anion corrections   -0.1883 eV per atom
Total moment   0.0 μB/cell
Crystal system   orthorhombic



Cs2Rb4AlSn2: optimized geometry, PBE. Values from VASP.

```
&SYSTEM
  ibrav = 0, nat = 9, ntyp = 4
/
ATOMIC_SPECIES
Rb 85.47 Rb.upf
Al 26.98 Al.upf
Sn 118.71 Sn.upf
Cs 132.91 Cs.upf
CELL_PARAMETERS angstrom
6.697 0.367 0.250
1.946 8.978 0.667
1.946 3.917 8.106
ATOMIC_POSITIONS crystal
Rb 0.804 0.905 0.354
Rb 0.196 0.095 0.646
Rb 0.196 0.646 0.095
Rb 0.804 0.354 0.905
Al 0.500 0.000 0.000
Sn 0.720 0.833 0.833
Sn 0.280 0.167 0.167
Cs 0.716 0.359 0.359
Cs 0.284 0.641 0.641
```

Properties
V   51.344 Å³ per atom
Total moment   0.9 μB/cell
Energy relative to the elements   -0.041 eV per atom
Crystal system   monoclinic



Cs2RbTaAl: optimized geometry, PBE. Values from VASP.

```
&SYSTEM
  ibrav = 0, nat = 5, ntyp = 4
/
ATOMIC_SPECIES
Al 26.98 Al.upf
Ta 180.95 Ta.upf
Cs 132.91 Cs.upf
Rb 85.47 Rb.upf
CELL_PARAMETERS angstrom
-3.325 5.478 2.943
-0.482 -3.065 5.160
6.192 2.615 2.131
ATOMIC_POSITIONS crystal
Al 0.000 0.500 0.000
Ta 0.500 0.500 0.500
Cs 0.000 0.000 0.500
Cs 0.500 0.000 0.000
Rb 0.000 0.000 0.000
```

Properties
V   59.876 Å³ per atom
Total moment   4.1 μB/cell
Energy relative to the elements   1.884 eV per atom
Crystal system   tetragonal



CsRbAlTe3: optimized geometry, PBE. Values from VASP.

```
&SYSTEM
  ibrav = 0, nat = 12, ntyp = 4
/
ATOMIC_SPECIES
Te 127.60 Te.upf
Rb 85.47 Rb.upf
Al 26.98 Al.upf
Cs 132.91 Cs.upf
CELL_PARAMETERS angstrom
7.905 0.414 0.000
2.170 8.165 0.000
1.085 4.082 8.242
ATOMIC_POSITIONS crystal
Te 0.750 0.182 0.637
Te 0.494 0.154 0.115
Te 0.250 0.818 0.363
Te 0.006 0.731 0.115
Te 0.994 0.269 0.885
Te 0.506 0.846 0.885
Rb 0.250 0.595 0.810
Rb 0.750 0.405 0.190
Al 0.750 0.025 0.951
Al 0.250 0.975 0.049
Cs 0.250 0.254 0.493
Cs 0.750 0.746 0.507
```

Properties
V   43.714 Å³ per atom
Formation energy without anion corrections   -0.7000 eV per atom
Total moment   1.9 μB/cell
Crystal system   monoclinic



CsRbY2Al: optimized geometry, PBE. Values from VASP.

```
&SYSTEM
  ibrav = 0, nat = 5, ntyp = 4
/
ATOMIC_SPECIES
Y 88.91 Y.upf
Rb 85.47 Rb.upf
Cs 132.91 Cs.upf
Al 26.98 Al.upf
CELL_PARAMETERS angstrom
5.837 0.000 0.000
0.000 6.206 0.000
0.000 0.000 5.837
ATOMIC_POSITIONS crystal
Y 0.500 0.000 0.000
Y 0.000 0.000 0.500
Rb 0.000 0.500 0.000
Cs 0.000 0.000 0.000
Al 0.500 0.500 0.500
```

Properties
V   42.282 Å³ per atom
Total moment   0.0 μB/cell
Energy relative to the elements   1.452 eV per atom
Crystal system   tetragonal



no.,mass density (g/cm³)
1,2.3
2,2.6
3,3.8
4,3.9
5,3.1
6,3.1
7,4.0
8,3.3